Entry 1:
Here is a relaxed AlPt2Cl crystal from Alexandria via LeMat-Bulk. Energies are from GGA-PBEsol.

Output
SG   Cmmm
Calculated total energy   -4.922 eV/atom

Lattice parameters (Å, degrees): 4.745 4.745 2.859 90.00 90.00 107.40
Fractional positions:
Al 0.000 0.000 0.000
Pt 0.000 0.500 0.500
Pt 0.500 0.000 0.500
Cl 0.500 0.500 0.000

---

Entry 2:
Here is a relaxed AlPtCl2 crystal from Alexandria via LeMat-Bulk. Energies are from GGA-PBEsol.

Output
SG   Pmmm
Energy relative to the lowest polymorph listed for this composition   596 meV per atom
Calculated total energy   -3.785 eV/atom

Lattice parameters (Å, degrees): 2.979 4.231 5.331 90.00 90.00 90.00
Fractional positions:
Al 0.000 0.000 0.000
Pt 0.500 0.000 0.500
Cl 0.000 0.500 0.500
Cl 0.500 0.500 0.000

---

Entry 3:
Here is a relaxed AlPtCl2 crystal from Alexandria via LeMat-Bulk. Energies are from GGA-PBEsol.

Output
SG   Fmmm
Energy relative to the lowest polymorph listed for this composition   540 meV per atom
Calculated total energy   -3.841 eV/atom

Lattice parameters (Å, degrees): 5.035 4.623 4.529 66.75 57.52 55.74
Fractional positions:
Al 0.000 0.000 0.000
Pt 0.500 0.500 0.500
Cl 0.000 0.500 0.500
Cl 0.500 0.000 0.000

---

Entry 4:
Here is a relaxed AlPtCl2 crystal from Alexandria via LeMat-Bulk. Energies are from GGA-PBEsol.

Output
SG   Pm
Energy relative to the lowest polymorph listed for this composition   0 meV per atom
Calculated total energy   -4.381 eV/atom

Lattice parameters (Å, degrees): 5.274 3.022 5.834 90.00 109.33 90.00
Fractional positions:
Al 0.000 0.000 0.000
Pt 0.282 0.500 0.861
Cl 0.582 0.000 0.712
Cl 0.920 0.500 0.267

---

Entry 5:
Here is a relaxed RbAlCl2 crystal from Alexandria via LeMat-Bulk. Energies are from GGA-PBEsol.

Output
SG   R-3m
Calculated total energy   -3.221 eV/atom

Lattice parameters (Å, degrees): 9.019 9.019 9.019 29.72 29.72 29.72
Fractional positions:
Rb 0.000 0.000 0.000
Al 0.500 0.500 0.500
Cl 0.403 0.403 0.403
Cl 0.597 0.597 0.597

---

Entry 6:
Here is a relaxed Rb2AlTlCl6 crystal from Alexandria via LeMat-Bulk. Energies are from GGA-PBEsol.

Output
SG   Fm-3m
Calculated total energy   -3.668 eV/atom

Lattice parameters (Å, degrees): 7.471 7.471 7.471 60.00 60.00 60.00
Fractional positions:
Rb 0.250 0.250 0.250
Rb 0.750 0.750 0.750
Al 0.000 0.000 0.000
Tl 0.500 0.500 0.500
Cl 0.220 0.220 0.780
Cl 0.220 0.780 0.220
Cl 0.220 0.780 0.780
Cl 0.780 0.220 0.220
Cl 0.780 0.220 0.780
Cl 0.780 0.780 0.220

---

Entry 7:
Here is a relaxed AlReCl2 crystal from Alexandria via LeMat-Bulk. Energies are from GGA-PBEsol.

Output
SG   Pm
Energy relative to the lowest polymorph listed for this composition   0 meV per atom
Calculated total energy   -5.591 eV/atom

Lattice parameters (Å, degrees): 3.843 3.028 7.049 90.00 99.39 90.00
Fractional positions:
Al 0.000 0.000 0.000
Re 0.458 0.500 0.887
Cl 0.367 0.000 0.628
Cl 0.745 0.500 0.226

---

Entry 8:
Here is a relaxed AlReCl crystal from Alexandria via LeMat-Bulk. Energies are from GGA-PBEsol.

Output
SG   F-43m
Calculated total energy   -5.347 eV/atom

Lattice parameters (Å, degrees): 4.264 4.264 4.264 60.00 60.00 60.00
Fractional positions:
Al 0.000 0.000 0.000
Re 0.250 0.250 0.250
Cl 0.500 0.500 0.500

---

Entry 9:
Here is a relaxed AlReCl2 crystal from Alexandria via LeMat-Bulk. Energies are from GGA-PBEsol.

Output
SG   Cmmm
Energy relative to the lowest polymorph listed for this composition   529 meV per atom
Calculated total energy   -5.062 eV/atom

Lattice parameters (Å, degrees): 3.051 3.051 8.999 90.00 90.00 123.94
Fractional positions:
Al 0.000 0.000 0.000
Re 0.000 0.000 0.500
Cl 0.500 0.500 0.286
Cl 0.500 0.500 0.714

---

Entry 10:
Here is a relaxed Al2ReCl crystal from Alexandria via LeMat-Bulk. Energies are from GGA-PBEsol.

Output
SG   P4/mmm
Calculated total energy   -5.860 eV/atom

Lattice parameters (Å, degrees): 4.791 4.791 2.731 90.00 90.00 90.00
Fractional positions:
Al 0.000 0.500 0.000
Al 0.500 0.000 0.000
Re 0.000 0.000 0.500
Cl 0.500 0.500 0.500

---

Entry 11:
Here is a relaxed AlReCl2 crystal from Alexandria via LeMat-Bulk. Energies are from GGA-PBEsol.

Output
SG   P4/mmm
Energy relative to the lowest polymorph listed for this composition   1026 meV per atom
Calculated total energy   -4.565 eV/atom

Lattice parameters (Å, degrees): 2.966 2.966 8.109 90.00 90.00 90.00
Fractional positions:
Al 0.000 0.000 0.000
Re 0.000 0.000 0.500
Cl 0.500 0.500 0.316
Cl 0.500 0.500 0.684

---

Entry 12:
Here is a relaxed Y2AlReCl crystal from Alexandria via LeMat-Bulk. Energies are from GGA-PBEsol.

Output
SG   P4/mmm
Calculated total energy   -6.434 eV/atom

Lattice parameters (Å, degrees): 5.003 5.003 4.362 90.00 90.00 90.00
Fractional positions:
Y 0.000 0.500 0.000
Y 0.500 0.000 0.000
Al 0.000 0.000 0.500
Re 0.500 0.500 0.500
Cl 0.500 0.500 0.000

---

Question: What is the calculated total energy in the eleventh record?
Answer: -4.565 eV/atom